(1)
Density functional theory data (PBE-GGA) for a geometry-optimized EuGdHoEr structure.

Computed properties:
Mass density ... 8.04 g cm⁻³

Cell lengths 5.723, 5.723, 5.723 Å; angles 60.00, 60.00, 60.00 degrees
Each line ends with the local moment (μB).
Sites, in units of the cell vectors:
Er (0.000, 0.000, 0.000)  -0.18
Eu (0.750, 0.750, 0.750)  -6.86
Ho (0.500, 0.500, 0.500)  -0.17
Gd (0.250, 0.250, 0.250)  -7.25


(2)
Density functional theory data (PBE-GGA) for a geometry-optimized LaEuGdEr structure.

Computed properties:
Mass density ... 7.27 g cm⁻³

Cell lengths 5.837, 5.837, 5.837 Å; angles 60.00, 60.00, 60.00 degrees
Each line ends with the local moment (μB).
Sites, in units of the cell vectors:
Eu (0.000, 0.000, 0.000)  -6.85
Er (0.500, 0.500, 0.500)  -0.05
La (0.250, 0.250, 0.250)  -0.11
Gd (0.750, 0.750, 0.750)  7.10


(3)
Density functional theory data (PBE-GGA) for a geometry-optimized LiEuGdEr structure.

Computed properties:
Mass density ... 6.43 g cm⁻³

Cell lengths 5.611, 5.611, 5.611 Å; angles 60.00, 60.00, 60.00 degrees
Each line ends with the local moment (μB).
Sites, in units of the cell vectors:
Eu (0.500, 0.500, 0.500)  -6.83
Li (0.250, 0.250, 0.250)  0.00
Gd (0.000, 0.000, 0.000)  7.16
Er (0.750, 0.750, 0.750)  -0.04


(4)
Density functional theory data (PBE-GGA) for a geometry-optimized EuGdErMg structure.

Computed properties:
Mass density ... 6.68 g cm⁻³

Cell lengths 5.603, 5.603, 5.603 Å; angles 60.00, 60.00, 60.00 degrees
Each line ends with the local moment (μB).
Sites, in units of the cell vectors:
Eu (0.250, 0.250, 0.250)  6.84
Gd (0.750, 0.750, 0.750)  -7.15
Mg (0.000, 0.000, 0.000)  0.00
Er (0.500, 0.500, 0.500)  0.06


(5)
Density functional theory data (PBE-GGA) for a geometry-optimized EuGdErSc structure.

Computed properties:
Mass density ... 6.96 g cm⁻³

Cell lengths 5.602, 5.602, 5.602 Å; angles 60.00, 60.00, 60.00 degrees
Each line ends with the local moment (μB).
Sites, in units of the cell vectors:
Gd (0.750, 0.750, 0.750)  -7.24
Sc (0.500, 0.500, 0.500)  -0.05
Er (0.000, 0.000, 0.000)  -0.03
Eu (0.250, 0.250, 0.250)  6.83


(6)
Density functional theory data (PBE-GGA) for a geometry-optimized EuGdErSn structure.

Computed properties:
Mass density ... 8.59 g cm⁻³

Cell lengths 5.460, 5.460, 5.460 Å; angles 60.00, 60.00, 60.00 degrees
Each line ends with the local moment (μB).
Sites, in units of the cell vectors:
Sn (0.250, 0.250, 0.250)  -0.01
Er (0.000, 0.000, 0.000)  -0.02
Eu (0.750, 0.750, 0.750)  6.83
Gd (0.500, 0.500, 0.500)  -7.12


(7)
Density functional theory data (PBE-GGA) for a geometry-optimized EuErGe2 structure.

Computed properties:
Mass density ... 7.39 g cm⁻³
Excess energy over the best structure of this formula in the dataset ... 155 meV per atom

Cell lengths 3.816, 3.816, 8.564 Å; angles 77.13, 77.13, 60.00 degrees
Each line ends with the local moment (μB).
Sites, in units of the cell vectors:
Eu (0.500, 0.500, 0.500)  6.75
Ge (0.253, 0.253, 0.240)  -0.02
Ge (0.747, 0.747, 0.760)  -0.02
Er (0.000, 0.000, 0.000)  -0.05


(8)
Density functional theory data (PBE-GGA) for a geometry-optimized EuErGe2 structure.

Computed properties:
Mass density ... 8.15 g cm⁻³
Excess energy over the best structure of this formula in the dataset ... 79 meV per atom

Cell lengths 3.351, 5.314, 5.314 Å; angles 90.00, 90.00, 90.00 degrees
Each line ends with the local moment (μB).
Sites, in units of the cell vectors:
Ge (0.000, 0.000, 0.500)  -0.01
Eu (0.500, 0.000, 0.000)  6.76
Ge (0.000, 0.500, 0.000)  -0.01
Er (0.500, 0.500, 0.500)  0.03


no.,energy of formation from the pure elements (meV/atom)
1,149.3
2,130.0
3,200.6
4,61.9
5,159.0
6,-230.2
7,-468.1
8,-544.0